[1]
## ReSbW2 (GGA-PBE)

Data for a geometry-optimized ReSbW2 structure.

Results
N(E_F)	3.3	states/eV/cell
theoretical density	16.720	g/cm³
crystal system	tetragonal
VASP energy	-10.0546	eV/atom
uncorrected formation energy	0.56	eV/atom

Lattice parameters (Å, degrees): 5.2190 5.2190 5.2190 136.24 136.24 63.60
Closest atoms and distances in Å follow each position.
Sites, in units of the cell vectors:
W: 0.0000 0.0000 0.0000  4 W 2.75, 4 Re 2.95, 4 Sb 2.95
Re: 0.2500 0.7500 0.5000  4 Sb 2.75, 8 W 2.95
Sb: 0.7500 0.2500 0.5000  4 Re 2.75, 8 W 2.95
W: 0.5000 0.5000 0.0000  4 W 2.75, 4 Sb 2.95, 4 Re 2.95


[2]
## Re2SbW (GGA-PBE)

Data for a geometry-optimized Re2SbW structure.

Results
N(E_F)	2.7	states/eV/cell
theoretical density	16.634	g/cm³
crystal system	trigonal
VASP energy	-10.0249	eV/atom
uncorrected formation energy	0.47	eV/atom

Lattice parameters (Å, degrees): 8.9645 8.9645 8.9645 19.14 19.14 19.14
Closest atoms and distances in Å follow each position.
Sites, in units of the cell vectors:
Re: 0.0038 0.0038 0.0038  3 W 2.71, 3 Sb 2.87, 6 Re 2.98
W: 0.7500 0.7500 0.7500  6 Re 2.71, 6 W 2.98
Sb: 0.2500 0.2500 0.2500  6 Re 2.87, 6 Sb 2.98
Re: 0.4962 0.4962 0.4962  3 W 2.71, 3 Sb 2.87, 6 Re 2.98


[3]
## Re2SbW (GGA-PBE)

Data for a geometry-optimized Re2SbW structure.

Results
N(E_F)	3.7	states/eV/cell
theoretical density	16.631	g/cm³
crystal system	monoclinic
VASP energy	-9.9665	eV/atom
uncorrected formation energy	0.53	eV/atom

Lattice parameters (Å, degrees): 4.8751 4.8751 4.9004 79.57 79.57 36.31
Closest atoms and distances in Å follow each position.
Sites, in units of the cell vectors:
Re: 0.5147 0.5147 0.4687  2 Re 2.68, 3 W 2.71-2.86, 3 Sb 2.79-2.99
Sb: 0.7500 0.7500 0.7500  6 Re 2.79-2.99, 4 W 2.88, 2 Sb 3.04
Re: 0.9853 0.9853 0.0313  2 Re 2.68, 3 W 2.71-2.86, 3 Sb 2.79-2.99
W: 0.2500 0.2500 0.2500  6 Re 2.71-2.86, 4 Sb 2.88


[4]
## ReSbW2 (GGA-PBE)

Data for a geometry-optimized ReSbW2 structure.

Results
N(E_F)	3.0	states/eV/cell
theoretical density	16.573	g/cm³
crystal system	orthorhombic
VASP energy	-10.1327	eV/atom
uncorrected formation energy	0.49	eV/atom

Lattice parameters (Å, degrees): 4.2369 2.9640 6.1525 61.19 90.00 90.00
Closest atoms and distances in Å follow each position.
Sites, in units of the cell vectors:
Sb: 0.5000 0.7500 0.7500  2 Re 2.70, 8 W 2.94-2.95, 2 Sb 2.96
W: 0.0000 0.5105 0.4885  2 W 2.57-2.82
Re: 0.5000 0.2500 0.2500  2 Sb 2.70, 8 W 2.89, 2 Re 2.96
W: 0.0000 0.9895 0.0115  2 W 2.57-2.82